Version one
A plane-wave DFT calculation with GGA-PBE was carried out for an optimized crystal structure of Li3MgP.

- Space-group type: Pm-3m
- M_tot: 0.0 Bohr magnetons per cell

a b c (Å): 4.7574 4.7574 4.7574
angles (deg): 90.00 90.00 90.00
With the nearest neighbours (Å) after each atom.
Atoms (fractional coordinates):
P (0.5000, 0.5000, 0.5000)  12 Li 3.36
Mg (0.0000, 0.0000, 0.0000)  6 Li 2.38
Li (0.0000, 0.5000, 0.0000)  2 Mg 2.38
Li (0.0000, 0.0000, 0.5000)  2 Mg 2.38
Li (0.5000, 0.0000, 0.0000)  2 Mg 2.38

=====

Version two
A plane-wave DFT calculation with GGA-PBE was carried out for an optimized crystal structure of Li3MgP.

- Space-group type: Pm-3m
- M_tot: 0.0 Bohr magnetons per cell

a b c (Å): 4.7344 4.7344 4.7344
angles (deg): 90.00 90.00 90.00
With the nearest neighbours (Å) after each atom.
Atoms (fractional coordinates):
P (0.0000, 0.0000, 0.0000)  6 Li 2.37
Mg (0.5000, 0.5000, 0.5000)  12 Li 3.35
Li (0.0000, 0.5000, 0.0000)  2 P 2.37
Li (0.0000, 0.0000, 0.5000)  2 P 2.37
Li (0.5000, 0.0000, 0.0000)  2 P 2.37

=====

Ordering by calculated energy gives the sequence version two, version one, with the first entry being the most stable.

=====

Version one
A plane-wave DFT calculation with GGA-PBE was carried out for an optimized crystal structure of LiMg2P2.

- Space-group type: P4/mbm
- M_tot: 0.0 Bohr magnetons per cell

a b c (Å): 7.5125 7.5125 3.1645
angles (deg): 90.00 90.00 90.00
With the nearest neighbours (Å) after each atom.
Atoms (fractional coordinates):
P (0.3341, 0.8341, 0.0000)  6 Mg 2.62-2.78, 2 Li 2.80
P (0.8341, 0.6659, 0.0000)  6 Mg 2.62-2.78, 2 Li 2.80
P (0.6659, 0.1659, 0.0000)  6 Mg 2.62-2.78, 2 Li 2.80
P (0.1659, 0.3341, 0.0000)  6 Mg 2.62-2.78, 2 Li 2.80
Mg (0.1372, 0.6372, 0.5000)  6 P 2.62-2.78, 1 Mg 2.91
Mg (0.6372, 0.8628, 0.5000)  6 P 2.62-2.78, 1 Mg 2.91
Mg (0.8628, 0.3628, 0.5000)  6 P 2.62-2.78, 1 Mg 2.91
Mg (0.3628, 0.1372, 0.5000)  6 P 2.62-2.78, 1 Mg 2.91
Li (0.0000, 0.0000, 0.0000)  4 P 2.80
Li (0.5000, 0.5000, 0.0000)  4 P 2.80

=====

Version two
A plane-wave DFT calculation with GGA-PBE was carried out for an optimized crystal structure of LiMg2P2.

- Space-group type: I4/mmm
- M_tot: 0.0 Bohr magnetons per cell

a b c (Å): 4.3472 4.3472 6.0733
angles (deg): 69.03 69.03 90.00
With the nearest neighbours (Å) after each atom.
Atoms (fractional coordinates):
P (0.3845, 0.3845, 0.2311)  1 P 2.42, 4 Mg 2.59
P (0.6155, 0.6155, 0.7689)  1 P 2.42, 4 Mg 2.59
Mg (0.7500, 0.2500, 0.5000)  4 P 2.59
Mg (0.2500, 0.7500, 0.5000)  4 P 2.59
Li (0.0000, 0.0000, 0.0000)  8 P 3.30, 8 Mg 3.40

=====

Ordering by calculated energy gives the sequence version one, version two, with the first entry being the most stable.